[1]
DFT (PBE) results for Cr3C after structural relaxation.

theoretical density = 6.9 g/cm3
raw total energy = -75.21 eV for the cell shown
E above lowest polymorph = 215 meV/atom

a b c (Å): 5.4854 5.4854 2.8115
angles (deg): 90.00 90.00 106.94
Fractional coordinates of all 8 atoms:
Cr: 0.1059 0.8941 0.7500
Cr: 0.1675 0.4350 0.7500
Cr: 0.4350 0.1675 0.2500
Cr: 0.5650 0.8325 0.7500
Cr: 0.8325 0.5650 0.2500
Cr: 0.8941 0.1059 0.2500
C: 0.2745 0.7255 0.2500
C: 0.7255 0.2745 0.7500

[2]
DFT (PBE) results for Tb2ScCdN after structural relaxation.

theoretical density = 7.6 g/cm3
formation energy (no corrections) = -422 kJ/mol of formula units
raw total energy = -29.21 eV for the cell shown

a b c (Å): 4.9013 4.9013 4.4327
angles (deg): 90.00 90.00 90.00
Fractional coordinates of all 5 atoms:
Tb: 0.0000 0.5000 0.0000
Tb: 0.5000 0.0000 0.0000
Sc: 0.0000 0.0000 0.5000
Cd: 0.5000 0.5000 0.5000
N: 0.0000 0.0000 0.0000

[3]
DFT (PBE) results for Bi2PdRhO8 after structural relaxation.

theoretical density = 7.9 g/cm3
formation energy (no corrections) = -811 kJ/mol of formula units
raw total energy = -68.38 eV for the cell shown

a b c (Å): 4.7851 6.7012 4.9289
angles (deg): 90.00 90.63 90.00
Fractional coordinates of all 12 atoms:
Bi: 0.0000 0.2504 0.0000
Bi: 0.0000 0.7496 0.0000
Pd: 0.5000 0.0000 0.5000
Rh: 0.5000 0.5000 0.5000
O: 0.2354 0.0000 0.1784
O: 0.2527 0.5000 0.1776
O: 0.2878 0.2554 0.6386
O: 0.2878 0.7446 0.6386
O: 0.7122 0.2554 0.3614
O: 0.7122 0.7446 0.3614
O: 0.7473 0.5000 0.8224
O: 0.7646 0.0000 0.8216